A geometry-optimized Li24La5 structure, computed with GGA-PBE.

DOS at the Fermi energy ... 22.78 states/eV/cell
DFT formation energy ... 0.08 eV per atom
DFT total energy ... -2.35 eV/atom

a b c (Å): 9.6012 9.6012 9.6012
angles (deg): 109.47 109.47 109.47
Element x y z (fractional)
La 0.0000 0.6558 0.0000
La 0.6558 0.0000 0.0000
La 0.0000 0.0000 0.6558
La 0.3442 0.3442 0.3442
La 0.0000 0.0000 0.0000
Li 0.1865 0.3851 0.0000
Li 0.3851 0.1865 0.0000
Li 0.8135 0.8135 0.1986
Li 0.6149 0.6149 0.8014
Li 0.8135 0.1986 0.8135
Li 0.6149 0.8014 0.6149
Li 0.3851 0.0000 0.1865
Li 0.1865 0.0000 0.3851
Li 0.0000 0.3851 0.1865
Li 0.0000 0.1865 0.3851
Li 0.8014 0.6149 0.6149
Li 0.1986 0.8135 0.8135
Li 0.6615 0.3946 0.0000
Li 0.3946 0.6615 0.0000
Li 0.3385 0.3385 0.7332
Li 0.6054 0.6054 0.2668
Li 0.3385 0.7332 0.3385
Li 0.6054 0.2668 0.6054
Li 0.3946 0.0000 0.6615
Li 0.6615 0.0000 0.3946
Li 0.0000 0.3946 0.6615
Li 0.0000 0.6615 0.3946
Li 0.2668 0.6054 0.6054
Li 0.7332 0.3385 0.3385